Here is crystalline LiPrPa at its relaxed geometry from the Alexandria database. Energies are from PBE-GGA.

abc: 4.518 6.014 6.581
angles: 82.59 69.92 67.94
Positions (direct):
Pa1 0.829 0.342 0.000
Li1 0.250 0.500 0.500
Pr1 0.643 0.000 0.714
Pa2 0.171 0.658 0.000
Pr2 0.357 0.000 0.286
Li2 0.750 0.500 0.500

- Total energy: -5.078 eV/atom
- Spin magnetization: 0.00 μB per atom
- V: 156 Å³/cell
- Calculated formation energy: 319 meV per atom